BaSiPt2: relaxed, PBE-GGA.

```
BaSiPt2
1.0
7.422 0.000 0.000
0.000 4.467 0.000
0.000 0.000 11.107
Ba Si Pt
4 4 8
direct
0.143 0.250 0.124
0.357 0.750 0.624
0.643 0.250 0.376
0.857 0.750 0.876
0.024 0.750 0.364
0.476 0.250 0.864
0.524 0.750 0.136
0.976 0.250 0.636
0.107 0.250 0.437
0.168 0.250 0.806
0.332 0.750 0.306
0.393 0.750 0.937
0.607 0.250 0.063
0.668 0.250 0.694
0.832 0.750 0.194
0.893 0.750 0.563
```

## Properties
The formation energy from raw total energies comes out at -0.89 eV/atom. As for the space group: Pnma, No. 62.

Mn2ZnRh: relaxed, PBE-GGA.

```
Mn2ZnRh
1.0
4.805 -1.412 0.000
4.805 1.412 0.000
-2.014 0.000 8.241
Mn Zn Rh
4 2 2
direct
0.000 0.000 0.000
0.274 0.274 0.787
0.541 0.541 0.784
0.906 0.906 0.544
0.197 0.197 0.298
0.451 0.451 0.259
0.641 0.641 0.535
0.746 0.746 0.051
```

## Properties
The formation energy is -0.033 eV per atom. As for the space group: Cm, No. 8.

ZnNi2Br: relaxed, PBE-GGA.

```
ZnNi2Br
1.0
3.399 0.000 0.000
0.000 2.916 0.000
-0.019 0.000 6.461
Zn Ni Br
1 2 1
direct
0.000 0.000 0.000
0.499 0.500 0.812
0.501 0.500 0.188
0.500 0.000 0.500
```

## Properties
The formation energy from raw total energies comes out at 0.11 eV/atom. As for the space group: P2/m, No. 10.